1.
VASP calculation (GGA-PBE) on an optimized crystal structure of K2CdPb.

Geometry as POSCAR:
```
K2CdPb
1.0
7.057 0.146 -0.078
5.832 3.977 -0.078
2.519 0.806 5.651
Pb K Cd
1 2 1
direct
0.536 0.536 0.487 Pb
0.974 0.974 0.039 K
0.772 0.772 0.716 K
0.219 0.219 0.259 Cd
```

Summary:
As for the crystal system: monoclinic.

---

2.
VASP calculation (GGA-PBE) on an optimized crystal structure of KCdPb3.

Geometry as POSCAR:
```
KCdPb3
1.0
5.836 0.000 0.000
0.000 5.836 0.000
0.000 0.000 5.836
Pb Cd K
3 1 1
direct
0.000 0.500 0.000 Pb
0.500 0.000 0.000 Pb
0.000 0.000 0.500 Pb
0.000 0.000 0.000 Cd
0.500 0.500 0.500 K
```

Summary:
The value obtained for the distance to the lowest polymorph of the same formula is 262.6 meV per atom. As for the crystal system: cubic.

---

3.
VASP calculation (GGA-PBE) on an optimized crystal structure of KCdPb.

Geometry as POSCAR:
```
KCdPb
1.0
6.943 -0.068 0.074
5.804 3.813 0.064
1.139 0.348 3.865
Cd Pb K
1 1 1
direct
0.025 0.025 0.975 Cd
0.637 0.637 0.363 Pb
0.338 0.338 0.662 K
```

Summary:
The value obtained for the distance to the lowest polymorph of the same formula is 109.6 meV per atom. As for the crystal system: tetragonal.

---

4.
VASP calculation (GGA-PBE) on an optimized crystal structure of K2CdPb.

Geometry as POSCAR:
```
K2CdPb
1.0
7.942 -0.029 -0.091
-3.056 5.715 0.020
1.829 1.015 3.221
K Cd Pb
2 1 1
direct
0.000 0.000 0.000 K
0.500 0.000 0.500 K
0.500 0.500 0.000 Cd
0.000 0.500 0.500 Pb
```

Summary:
As for the crystal system: monoclinic.

---

5.
VASP calculation (GGA-PBE) on an optimized crystal structure of K2CdPb.

Geometry as POSCAR:
```
K2CdPb
1.0
6.609 0.007 0.000
2.654 6.053 0.000
-4.632 -3.030 3.612
Cd K Pb
1 2 1
direct
0.750 0.250 0.500 Cd
0.500 0.500 0.000 K
0.000 0.000 0.000 K
0.250 0.750 0.500 Pb
```

Summary:
As for the crystal system: tetragonal.

---

6.
VASP calculation (GGA-PBE) on an optimized crystal structure of KCd2Pb4.

Geometry as POSCAR:
```
KCd2Pb4
1.0
-2.525 0.704 -4.427
-4.572 0.345 2.663
3.356 8.305 -0.594
Pb K Cd
4 1 2
direct
0.500 0.185 0.369 Pb
0.000 0.689 0.377 Pb
0.500 0.815 0.631 Pb
0.000 0.311 0.623 Pb
0.000 0.000 0.000 K
0.500 0.418 0.835 Cd
0.500 0.582 0.165 Cd
```

Summary:
As for the crystal system: orthorhombic.

---

7.
VASP calculation (GGA-PBE) on an optimized crystal structure of K2Cd9Pb.

Geometry as POSCAR:
```
K2Cd9Pb
1.0
6.207 0.000 0.000
3.103 5.375 0.000
3.103 1.792 9.943
Cd Pb K
9 1 2
direct
0.500 0.500 0.500 Cd
0.584 0.079 0.752 Cd
0.416 0.921 0.248 Cd
0.079 0.584 0.752 Cd
0.334 0.334 0.997 Cd
0.921 0.416 0.248 Cd
0.666 0.666 0.003 Cd
0.584 0.584 0.752 Cd
0.416 0.416 0.248 Cd
0.000 0.000 0.000 Pb
0.142 0.142 0.575 K
0.858 0.858 0.425 K
```

Summary:
As for the crystal system: trigonal.

---

8.
VASP calculation (GGA-PBE) on an optimized crystal structure of KCd2Pb2.

Geometry as POSCAR:
```
KCd2Pb2
1.0
6.536 0.190 -1.201
3.496 7.321 -0.896
2.011 -0.371 6.404
K Cd Pb
2 4 4
direct
0.029 0.658 0.275 K
0.971 0.342 0.725 K
0.357 0.523 0.721 Cd
0.961 0.882 0.828 Cd
0.643 0.477 0.279 Cd
0.039 0.118 0.172 Cd
0.497 0.202 0.043 Pb
0.639 0.120 0.523 Pb
0.503 0.798 0.957 Pb
0.361 0.880 0.477 Pb
```

Summary:
The value obtained for the distance to the lowest polymorph of the same formula is 52.6 meV per atom. As for the crystal system: triclinic.

---

9.
VASP calculation (GGA-PBE) on an optimized crystal structure of K2Cd2Pb.

Geometry as POSCAR:
```
K2Cd2Pb
1.0
7.951 0.000 0.000
0.000 7.951 0.000
0.000 0.000 5.737
Cd Pb K
4 2 4
direct
0.632 0.132 0.000 Cd
0.868 0.632 0.000 Cd
0.132 0.368 0.000 Cd
0.368 0.868 0.000 Cd
0.500 0.500 0.000 Pb
0.000 0.000 0.000 Pb
0.820 0.320 0.500 K
0.320 0.180 0.500 K
0.180 0.680 0.500 K
0.680 0.820 0.500 K
```

Summary:
The value obtained for the distance to the lowest polymorph of the same formula is 64.0 meV per atom. As for the crystal system: tetragonal.

---

10.
VASP calculation (GGA-PBE) on an optimized crystal structure of KCdPb3.

Geometry as POSCAR:
```
KCdPb3
1.0
-5.315 -4.451 1.331
0.302 -2.326 -6.576
4.573 -4.882 1.936
Pb Cd K
6 2 2
direct
0.468 0.919 0.952 Pb
0.468 0.919 0.449 Pb
0.833 0.060 0.701 Pb
0.968 0.434 0.949 Pb
0.968 0.434 0.452 Pb
0.333 0.293 0.201 Pb
0.635 0.586 0.201 Cd
0.135 0.767 0.701 Cd
0.975 0.934 0.201 K
0.475 0.419 0.701 K
```

Summary:
The value obtained for the distance to the lowest polymorph of the same formula is 40.4 meV per atom. As for the crystal system: orthorhombic.

---

11.
VASP calculation (GGA-PBE) on an optimized crystal structure of KCd2Pb2.

Geometry as POSCAR:
```
KCd2Pb2
1.0
-4.810 -0.168 -1.033
0.628 -4.352 -2.213
-2.276 -6.233 11.609
Cd Pb K
4 4 2
direct
0.500 0.500 0.500 Cd
0.500 0.000 0.855 Cd
0.000 0.000 0.500 Cd
0.000 0.500 0.145 Cd
0.000 0.000 0.000 Pb
0.000 0.500 0.365 Pb
0.500 0.500 0.000 Pb
0.500 0.000 0.635 Pb
0.500 0.000 0.254 K
0.000 0.500 0.746 K
```

Summary:
The value obtained for the distance to the lowest polymorph of the same formula is 18.6 meV per atom. As for the crystal system: tetragonal.

---

12.
VASP calculation (GGA-PBE) on an optimized crystal structure of K2CdPb.

Geometry as POSCAR:
```
K2CdPb
1.0
-0.222 0.259 3.682
2.420 -2.775 0.341
8.175 7.128 -0.008
Pb K Cd
1 2 1
direct
0.500 0.500 0.250 Pb
0.000 0.000 0.500 K
0.000 0.000 0.000 K
0.500 0.500 0.750 Cd
```

Summary:
As for the crystal system: tetragonal.

---

13.
VASP calculation (GGA-PBE) on an optimized crystal structure of K2Cd2Pb.

Geometry as POSCAR:
```
K2Cd2Pb
1.0
10.155 0.000 0.000
0.000 10.155 0.000
0.000 0.000 3.501
Cd K Pb
4 4 2
direct
0.894 0.394 0.500 Cd
0.106 0.606 0.500 Cd
0.606 0.894 0.500 Cd
0.394 0.106 0.500 Cd
0.814 0.686 0.000 K
0.186 0.314 0.000 K
0.314 0.814 0.000 K
0.686 0.186 0.000 K
0.000 0.000 0.000 Pb
0.500 0.500 0.000 Pb
```

Summary:
The value obtained for the distance to the lowest polymorph of the same formula is 237.6 meV per atom. As for the crystal system: tetragonal.

---

14.
VASP calculation (GGA-PBE) on an optimized crystal structure of KCd2Pb2.

Geometry as POSCAR:
```
KCd2Pb2
1.0
9.346 0.000 0.000
0.000 9.346 0.000
0.000 0.000 3.540
Cd K Pb
4 2 4
direct
0.657 0.843 0.500 Cd
0.343 0.157 0.500 Cd
0.157 0.657 0.500 Cd
0.843 0.343 0.500 Cd
0.500 0.500 0.000 K
0.000 0.000 0.000 K
0.864 0.636 0.000 Pb
0.636 0.136 0.000 Pb
0.364 0.864 0.000 Pb
0.136 0.364 0.000 Pb
```

Summary:
The value obtained for the distance to the lowest polymorph of the same formula is 76.4 meV per atom. As for the crystal system: tetragonal.

---

15.
VASP calculation (GGA-PBE) on an optimized crystal structure of K3Cd6Pb5.

Geometry as POSCAR:
```
K3Cd6Pb5
1.0
5.127 0.000 0.000
0.000 11.377 0.000
0.000 0.000 14.892
Cd Pb K
12 10 6
direct
0.500 0.023 0.632 Cd
0.500 0.023 0.368 Cd
0.000 0.448 0.500 Cd
0.000 0.621 0.657 Cd
0.000 0.621 0.343 Cd
0.500 0.379 0.157 Cd
0.000 0.977 0.132 Cd
0.000 0.977 0.868 Cd
0.500 0.552 0.000 Cd
0.500 0.379 0.843 Cd
0.000 0.049 0.500 Cd
0.500 0.951 0.000 Cd
0.000 0.887 0.330 Pb
0.500 0.248 0.500 Pb
0.500 0.113 0.830 Pb
0.500 0.472 0.355 Pb
0.000 0.752 0.000 Pb
0.500 0.472 0.645 Pb
0.000 0.887 0.670 Pb
0.500 0.113 0.170 Pb
0.000 0.528 0.855 Pb
0.000 0.528 0.145 Pb
0.500 0.749 0.500 K
0.000 0.245 0.305 K
0.500 0.755 0.195 K
0.000 0.251 0.000 K
0.500 0.755 0.805 K
0.000 0.245 0.695 K
```

Summary:
As for the crystal system: orthorhombic.

---

16.
VASP calculation (GGA-PBE) on an optimized crystal structure of K2CdPb.

Geometry as POSCAR:
```
K2CdPb
1.0
0.000 4.225 4.225
4.225 0.000 4.225
4.225 4.225 0.000
K Cd Pb
2 1 1
direct
0.750 0.750 0.750 K
0.250 0.250 0.250 K
0.000 0.000 0.000 Cd
0.500 0.500 0.500 Pb
```

Summary:
As for the crystal system: cubic.

---

17.
VASP calculation (GGA-PBE) on an optimized crystal structure of K6CdPb2.

Geometry as POSCAR:
```
K6CdPb2
1.0
6.269 0.000 0.000
-3.135 5.744 -1.182
0.000 0.035 11.087
Cd K Pb
1 6 2
direct
0.000 0.000 0.000 Cd
0.707 0.414 0.076 K
0.176 0.353 0.580 K
0.534 0.068 0.727 K
0.824 0.647 0.420 K
0.466 0.932 0.273 K
0.293 0.586 0.924 K
0.140 0.279 0.247 Pb
0.860 0.721 0.753 Pb
```

Summary:
As for the crystal system: monoclinic.

---

18.
VASP calculation (GGA-PBE) on an optimized crystal structure of K2CdPb.

Geometry as POSCAR:
```
K2CdPb
1.0
-5.729 -0.648 3.172
-0.875 -6.360 -2.879
3.461 -1.331 5.980
K Cd Pb
4 2 2
direct
0.750 0.023 0.681 K
0.750 0.671 0.033 K
0.250 0.319 0.977 K
0.250 0.967 0.329 K
0.000 0.495 0.505 Cd
0.500 0.495 0.505 Cd
0.250 0.771 0.781 Pb
0.750 0.219 0.229 Pb
```

Summary:
As for the crystal system: orthorhombic.

---

19.
VASP calculation (GGA-PBE) on an optimized crystal structure of K2CdPb.

Geometry as POSCAR:
```
K2CdPb
1.0
-2.944 1.975 -0.872
-2.159 -4.840 -3.672
-3.142 -2.445 5.071
K Pb Cd
2 1 1
direct
0.000 0.500 0.000 K
0.000 0.000 0.500 K
0.500 0.500 0.500 Pb
0.500 0.000 0.000 Cd
```

Summary:
As for the crystal system: tetragonal.

---

20.
VASP calculation (GGA-PBE) on an optimized crystal structure of K3CdPb.

Geometry as POSCAR:
```
K3CdPb
1.0
6.861 0.000 0.000
0.000 6.861 0.000
0.000 0.000 6.861
Pb Cd K
1 1 3
direct
0.000 0.000 0.000 Pb
0.500 0.500 0.500 Cd
0.000 0.500 0.000 K
0.000 0.000 0.500 K
0.500 0.000 0.000 K
```

Summary:
The value obtained for the distance to the lowest polymorph of the same formula is 243.4 meV per atom. As for the crystal system: cubic.

---

no.,ΔE_f (meV/atom),magnetic moment (μB/f.u.),DOS(E_F) (states/eV/f.u.)
1,-72,0.00,2.6
2,181,0.00,3.0
3,-29,0.00,1.4
4,-13,0.00,2.6
5,-10,0.00,1.8
6,-25,0.00,3.7
7,-14,0.00,6.6
8,-58,0.00,2.2
9,-76,0.00,2.6
10,-42,0.00,2.1
11,-92,0.00,2.4
12,-15,0.00,2.9
13,98,0.00,1.1
14,-34,0.00,1.8
15,-87,0.00,6.0
16,48,0.00,4.2
17,-135,0.00,1.5
18,-186,0.00,0.0
19,0,0.13,3.0
20,138,1.00,1.9